Record 1
Here is Ta4Co5As5 after structural relaxation from the Open Quantum Materials Database. Energies are from PBE-GGA.

Lattice parameters (Å, degrees): 6.9168 6.9168 6.9168 99.76 99.76 131.36
Element x y z (fractional)
Ta 0.0960 0.6984 0.7978
Ta 0.3016 0.0994 0.3976
Ta 0.7018 0.9040 0.6024
Ta 0.9006 0.2982 0.2022
Co 0.0288 0.3439 0.8970
Co 0.2500 0.7500 0.5000
Co 0.4469 0.1317 0.1030
Co 0.6561 0.5531 0.6848
Co 0.8683 0.9712 0.3152
As 0.0000 0.0000 0.0000
As 0.2138 0.4067 0.6181
As 0.4043 0.7862 0.1929
As 0.5933 0.2114 0.8071
As 0.7886 0.5957 0.3819

Calculated values
* symmetry: I-4
* final energy: -112.6 eV per cell

***

Record 2
Here is Hf3Zr2Ag2 after structural relaxation from the Open Quantum Materials Database. Energies are from PBE-GGA.

Lattice parameters (Å, degrees): 7.5521 7.5521 7.5521 38.06 38.06 38.06
Element x y z (fractional)
Hf 0.0000 0.0000 0.0000
Hf 0.2749 0.2749 0.2749
Hf 0.6941 0.6941 0.6941
Zr 0.4188 0.4188 0.4188
Zr 0.8483 0.8483 0.8483
Ag 0.1344 0.1344 0.1344
Ag 0.5614 0.5614 0.5614

Calculated values
* formation enthalpy at 0 K: 49 meV/atom
* symmetry: R3m

***

Record 3
Here is LaGa2Pt3 after structural relaxation from the Open Quantum Materials Database. Energies are from PBE-GGA.

Lattice parameters (Å, degrees): 5.6511 5.6511 4.0501 90.00 90.00 120.00
Element x y z (fractional)
La 0.0000 0.0000 0.0000
Ga 0.3333 0.6667 0.0000
Ga 0.6667 0.3333 0.0000
Pt 0.0000 0.5000 0.5000
Pt 0.5000 0.0000 0.5000
Pt 0.5000 0.5000 0.5000

Calculated values
* symmetry: P6/mmm
* final energy: -34.8 eV per cell

***

Record 4
Here is HoZnPt after structural relaxation from the Open Quantum Materials Database. Energies are from PBE-GGA.

Lattice parameters (Å, degrees): 4.6389 4.6389 4.6389 60.00 60.00 60.00
Element x y z (fractional)
Ho 0.0000 0.0000 0.0000
Zn 0.2500 0.2500 0.2500
Pt 0.7500 0.7500 0.7500

Calculated values
* formation enthalpy at 0 K: -323 meV/atom
* symmetry: F-43m

***

Record 5
Here is CsNdTeSe after structural relaxation from the Open Quantum Materials Database. Energies are from PBE-GGA.

Lattice parameters (Å, degrees): 9.0744 9.0744 9.0744 28.90 28.90 28.90
Element x y z (fractional)
Cs 0.0000 0.0000 0.0000
Nd 0.5087 0.5087 0.5087
Te 0.7716 0.7716 0.7716
Se 0.2333 0.2333 0.2333

Calculated values
* symmetry: R3m
* final energy: -18.5 eV per cell

***

Record 6
Here is YCdAg2 after structural relaxation from the Open Quantum Materials Database. Energies are from PBE-GGA.

Lattice parameters (Å, degrees): 4.9436 4.9436 4.9436 119.88 119.88 90.20
Element x y z (fractional)
Y 0.0000 0.0000 0.0000
Cd 0.5000 0.5000 0.0000
Ag 0.2500 0.7500 0.5000
Ag 0.7500 0.2500 0.5000

Calculated values
* formation enthalpy at 0 K: -305 meV/atom
* symmetry: I4/mmm

***

Record 7
Here is ScInNiSe3 after structural relaxation from the Open Quantum Materials Database. Energies are from PBE-GGA.

Lattice parameters (Å, degrees): 10.4644 3.7273 13.3310 90.00 90.00 90.00
Element x y z (fractional)
Sc 0.0043 0.2500 0.2481
Sc 0.4957 0.7500 0.7481
Sc 0.5043 0.2500 0.2519
Sc 0.9957 0.7500 0.7519
In 0.2445 0.7500 0.5090
In 0.2555 0.2500 0.0090
In 0.7445 0.7500 0.9910
In 0.7555 0.2500 0.4910
Ni 0.2460 0.2500 0.6974
Ni 0.2540 0.7500 0.1974
Ni 0.7460 0.2500 0.8026
Ni 0.7540 0.7500 0.3026
Se 0.0436 0.2500 0.6127
Se 0.0538 0.7500 0.1094
Se 0.2463 0.7500 0.8122
Se 0.2537 0.2500 0.3122
Se 0.4462 0.2500 0.6094
Se 0.4564 0.7500 0.1127
Se 0.5436 0.2500 0.8873
Se 0.5538 0.7500 0.3906
Se 0.7463 0.7500 0.6878
Se 0.7537 0.2500 0.1878
Se 0.9462 0.2500 0.8906
Se 0.9564 0.7500 0.3873

Calculated values
* E above lowest polymorph: 0.018 eV/atom
* symmetry: Pnma

***

Record 8
Here is DyLuMo after structural relaxation from the Open Quantum Materials Database. Energies are from PBE-GGA.

Lattice parameters (Å, degrees): 4.8719 4.8719 4.8719 60.00 60.00 60.00
Element x y z (fractional)
Dy 0.0000 0.0000 0.0000
Lu 0.2500 0.2500 0.2500
Mo 0.5000 0.5000 0.5000

Calculated values
* formation enthalpy at 0 K: 1189 meV/atom
* symmetry: F-43m

***

Record 9
Here is YSc2Si4Ag4 after structural relaxation from the Open Quantum Materials Database. Energies are from PBE-GGA.

Lattice parameters (Å, degrees): 8.0026 8.0026 8.0026 150.35 128.04 60.96
Element x y z (fractional)
Y 0.0000 0.0000 0.0000
Sc 0.3786 0.8786 0.5000
Sc 0.6214 0.1214 0.5000
Si 0.2210 0.2210 0.0000
Si 0.3288 0.5000 0.8288
Si 0.6712 0.5000 0.1712
Si 0.7790 0.7790 0.0000
Ag 0.0307 0.3306 0.7001
Ag 0.3695 0.6694 0.7001
Ag 0.6305 0.3306 0.2999
Ag 0.9693 0.6694 0.2999

Calculated values
* symmetry: Immm
* final energy: -57.1 eV per cell